Density functional theory data (PBE) for MgPPtO2 after structural relaxation.

Computed properties:
The calculated volume is 77.7 Å³/cell. The value obtained for the total energy is -23.7 eV per cell. The value obtained for the uncorrected formation energy is -0.14 eV per atom.

Cell and atoms, written as CIF:
```
data_MgPPtO2
_chemical_formula_sum 'Mg1 P1 Pt1 O2'
_space_group_name_H-M_alt 'P 4/m m m'
_space_group_IT_number 123
_space_group_name_Hall '-P 4 2'
_cell_length_a 3.8985
_cell_length_b 3.8985
_cell_length_c 5.1134
_cell_angle_alpha 90.00
_cell_angle_beta 90.00
_cell_angle_gamma 90.00
loop_
_atom_site_label
_atom_site_type_symbol
_atom_site_fract_x
_atom_site_fract_y
_atom_site_fract_z
_atom_site_occupancy
Mg1 Mg 0.0000 0.0000 0.0000 1
P1 P 0.5000 0.5000 0.0000 1
Pt1 Pt 0.5000 0.5000 0.5000 1
O1 O 0.0000 0.5000 0.5000 1
```



Density functional theory data (PBE) for BiBW2C after structural relaxation.

Computed properties:
For the formation energy, the calculation gives 48.38 kcal/mol of atoms. The calculated volume is 86.9 Å³/cell. The value obtained for the total energy is -35.2 eV per cell.

Cell and atoms, written as CIF:
```
data_BiBW2C
_chemical_formula_sum 'Bi1 B1 W2 C1'
_space_group_name_H-M_alt 'P 4/m m m'
_space_group_IT_number 123
_space_group_name_Hall '-P 4 2'
_cell_length_a 4.1675
_cell_length_b 4.1675
_cell_length_c 5.0008
_cell_angle_alpha 90.00
_cell_angle_beta 90.00
_cell_angle_gamma 90.00
loop_
_atom_site_label
_atom_site_type_symbol
_atom_site_fract_x
_atom_site_fract_y
_atom_site_fract_z
_atom_site_occupancy
Bi1 Bi 0.0000 0.0000 0.0000 1
B1 B 0.0000 0.0000 0.5000 1
W1 W 0.0000 0.5000 0.5000 1
C1 C 0.5000 0.5000 0.0000 1
```



Density functional theory data (PBE) for TcMo3Rh after structural relaxation.

Computed properties:
For the formation energy, the calculation gives 37.76 kcal/mol of atoms. The calculated volume is 98.8 Å³/cell. The value obtained for the total energy is -42.0 eV per cell.

Cell and atoms, written as CIF:
```
data_TcMo3Rh
_chemical_formula_sum 'Tc1 Mo3 Rh1'
_space_group_name_H-M_alt 'P m -3 m'
_space_group_IT_number 221
_space_group_name_Hall '-P 4 2 3'
_cell_length_a 4.6230
_cell_length_b 4.6230
_cell_length_c 4.6230
_cell_angle_alpha 90.00
_cell_angle_beta 90.00
_cell_angle_gamma 90.00
loop_
_atom_site_label
_atom_site_type_symbol
_atom_site_fract_x
_atom_site_fract_y
_atom_site_fract_z
_atom_site_occupancy
Tc1 Tc 0.0000 0.0000 0.0000 1
Mo1 Mo 0.0000 0.0000 0.5000 1
Rh1 Rh 0.5000 0.5000 0.5000 1
```



Density functional theory data (PBE) for Ba2TeCl after structural relaxation.

Computed properties:
The calculated volume is 306.8 Å³/cell. The value obtained for the total energy is -31.0 eV per cell. The value obtained for the uncorrected formation energy is -1.67 eV per atom.

Cell and atoms, written as CIF:
```
data_Ba2TeCl
_chemical_formula_sum 'Ba4 Te2 Cl2'
_space_group_name_H-M_alt 'A m m 2'
_space_group_IT_number 38
_space_group_name_Hall 'A 2 -2'
_cell_length_a 5.0430
_cell_length_b 4.5309
_cell_length_c 13.4279
_cell_angle_alpha 90.00
_cell_angle_beta 90.00
_cell_angle_gamma 90.00
loop_
_atom_site_label
_atom_site_type_symbol
_atom_site_fract_x
_atom_site_fract_y
_atom_site_fract_z
_atom_site_occupancy
Ba1 Ba 0.0000 0.0000 0.0000 1
Ba2 Ba 0.5000 0.0000 0.2690 1
Te1 Te 0.5000 0.0000 0.5378 1
Cl1 Cl 0.0000 0.0000 0.7708 1
```



Density functional theory data (PBE) for SmYHo2Sc after structural relaxation.

Computed properties:
For the formation energy, the calculation gives 7.68 kcal/mol of atoms. The calculated volume is 647.7 Å³/cell. The value obtained for the total energy is -100.0 eV per cell.

Cell and atoms, written as CIF:
```
data_SmYHo2Sc
_chemical_formula_sum 'Sm4 Y4 Ho8 Sc4'
_space_group_name_H-M_alt 'C m c m'
_space_group_IT_number 63
_space_group_name_Hall '-C 2c 2'
_cell_length_a 8.1515
_cell_length_b 11.2484
_cell_length_c 7.0641
_cell_angle_alpha 90.00
_cell_angle_beta 90.00
_cell_angle_gamma 90.00
loop_
_atom_site_label
_atom_site_type_symbol
_atom_site_fract_x
_atom_site_fract_y
_atom_site_fract_z
_atom_site_occupancy
Sm1 Sm 0.0000 0.2245 0.2500 1
Y1 Y 0.0000 0.2393 0.7500 1
Ho1 Ho 0.1973 0.0000 0.0000 1
Sc1 Sc 0.0000 0.4876 0.2500 1
```



Density functional theory data (PBE) for CsPmCdI6 after structural relaxation.

Computed properties:
The calculated volume is 475.9 Å³/cell. The value obtained for the total energy is -26.3 eV per cell. The value obtained for the uncorrected formation energy is -1.16 eV per atom.

Cell and atoms, written as CIF:
```
data_CsPmCdI6
_chemical_formula_sum 'Cs1 Pm1 Cd1 I6'
_space_group_name_H-M_alt 'P 3 1 2'
_space_group_IT_number 149
_space_group_name_Hall 'P 3 2'
_cell_length_a 7.9660
_cell_length_b 7.9660
_cell_length_c 8.6605
_cell_angle_alpha 90.00
_cell_angle_beta 90.00
_cell_angle_gamma 120.00
loop_
_atom_site_label
_atom_site_type_symbol
_atom_site_fract_x
_atom_site_fract_y
_atom_site_fract_z
_atom_site_occupancy
Cs1 Cs 0.0000 0.0000 0.0000 1
Pm1 Pm 0.3333 0.6667 0.5000 1
Cd1 Cd 0.6667 0.3333 0.5000 1
I1 I 0.3789 0.0073 0.7072 1
```



Density functional theory data (PBE) for Y2ErP3 after structural relaxation.

Computed properties:
For the formation energy, the calculation gives -37.43 kcal/mol of atoms. The calculated volume is 271.4 Å³/cell. The value obtained for the total energy is -86.9 eV per cell.

Cell and atoms, written as CIF:
```
data_Y2ErP3
_chemical_formula_sum 'Y4 Er2 P6'
_space_group_name_H-M_alt 'I m m m'
_space_group_IT_number 71
_space_group_name_Hall '-I 2 2'
_cell_length_a 4.0020
_cell_length_b 5.6540
_cell_length_c 11.9933
_cell_angle_alpha 90.00
_cell_angle_beta 90.00
_cell_angle_gamma 90.00
loop_
_atom_site_label
_atom_site_type_symbol
_atom_site_fract_x
_atom_site_fract_y
_atom_site_fract_z
_atom_site_occupancy
Y1 Y 0.0000 0.0000 0.1669 1
Er1 Er 0.0000 0.0000 0.5000 1
P1 P 0.0000 0.5000 0.1650 1
P2 P 0.0000 0.5000 0.5000 1
```



Density functional theory data (PBE) for Ag8GeAu4 after structural relaxation.

Computed properties:
For the formation energy, the calculation gives 0.47 kcal/mol of atoms. The calculated volume is 236.4 Å³/cell. The value obtained for the total energy is -40.3 eV per cell.

Cell and atoms, written as CIF:
```
data_Ag8GeAu4
_chemical_formula_sum 'Ag8 Ge1 Au4'
_space_group_name_H-M_alt 'P 1 m 1'
_space_group_IT_number 6
_space_group_name_Hall 'P -2y'
_cell_length_a 4.7900
_cell_length_b 2.9127
_cell_length_c 17.0803
_cell_angle_alpha 90.00
_cell_angle_beta 97.19
_cell_angle_gamma 90.00
loop_
_atom_site_label
_atom_site_type_symbol
_atom_site_fract_x
_atom_site_fract_y
_atom_site_fract_z
_atom_site_occupancy
Ag1 Ag 0.0000 0.0000 0.0000 1
Ag2 Ag 0.0352 0.5000 0.3215 1
Ag3 Ag 0.1045 0.0000 0.4732 1
Ag4 Ag 0.2352 0.0000 0.7721 1
Ag5 Ag 0.4921 0.5000 0.2259 1
Ag6 Ag 0.5301 0.5000 0.0645 1
Ag7 Ag 0.6293 0.5000 0.5266 1
Ag8 Ag 0.6979 0.0000 0.6792 1
Ge1 Ge 0.4536 0.0000 0.9228 1
Au1 Au 0.1739 0.5000 0.6231 1
Au2 Au 0.5594 0.0000 0.3764 1
Au3 Au 0.7907 0.5000 0.8376 1
Au4 Au 0.9754 0.0000 0.1676 1
```